Record 1
Compound: Nd5DyTl4
Source: the Alexandria database
Functional: PBE
Structure: relaxed

Summary:
Its formation energy from the elements is -38 kJ/mol of formula units. For the density, the calculation gives 8.16 g cm⁻³. As for the total moment: 0.000 μB per atom. As for the energy relative to the lowest polymorph listed for this composition: 253 meV per atom.

The structure in CIF format:
```
data_Nd5DyTl4
_chemical_formula_sum 'Nd10 Dy2 Tl8'
_symmetry_space_group_name_H-M 'P 1'
_symmetry_Int_Tables_number 1
_cell_length_a 8.439
_cell_length_b 9.347
_cell_length_c 8.779
_cell_angle_alpha 90.00
_cell_angle_beta 90.00
_cell_angle_gamma 90.00
loop_
_symmetry_equiv_pos_as_xyz
'x,y,z'
loop_
_atom_site_label
_atom_site_type_symbol
_atom_site_fract_x
_atom_site_fract_y
_atom_site_fract_z
Nd1 Nd 0.011 0.056 0.233
Nd2 Nd 0.011 0.444 0.233
Nd3 Nd 0.250 0.750 0.172
Nd4 Nd 0.489 0.056 0.233
Nd5 Nd 0.489 0.444 0.233
Nd6 Nd 0.511 0.556 0.767
Nd7 Nd 0.511 0.944 0.767
Nd8 Nd 0.750 0.250 0.828
Nd9 Nd 0.989 0.556 0.767
Nd10 Nd 0.989 0.944 0.767
Dy1 Dy 0.250 0.250 0.585
Dy2 Dy 0.750 0.750 0.415
Tl1 Tl 0.083 0.250 0.935
Tl2 Tl 0.250 0.584 0.500
Tl3 Tl 0.250 0.916 0.500
Tl4 Tl 0.417 0.250 0.935
Tl5 Tl 0.583 0.750 0.065
Tl6 Tl 0.750 0.084 0.500
Tl7 Tl 0.750 0.416 0.500
Tl8 Tl 0.917 0.750 0.065
```



Record 2
Compound: Nd2Dy3Tl2
Source: the Alexandria database
Functional: PBE
Structure: relaxed

Summary:
Its formation energy from the elements is -134 kJ/mol of formula units. For the density, the calculation gives 9.25 g cm⁻³. As for the total moment: 0.000 μB per atom.

The structure in CIF format:
```
data_Nd2Dy3Tl2
_chemical_formula_sum 'Nd2 Dy3 Tl2'
_symmetry_space_group_name_H-M 'P 1'
_symmetry_Int_Tables_number 1
_cell_length_a 5.478
_cell_length_b 5.478
_cell_length_c 8.774
_cell_angle_alpha 108.24
_cell_angle_beta 108.24
_cell_angle_gamma 60.10
loop_
_symmetry_equiv_pos_as_xyz
'x,y,z'
loop_
_atom_site_label
_atom_site_type_symbol
_atom_site_fract_x
_atom_site_fract_y
_atom_site_fract_z
Nd1 Nd 0.076 0.076 0.229
Nd2 Nd 0.924 0.924 0.771
Dy1 Dy 0.346 0.346 0.040
Dy2 Dy 0.500 0.500 0.500
Dy3 Dy 0.654 0.654 0.960
Tl1 Tl 0.217 0.217 0.652
Tl2 Tl 0.783 0.783 0.348
```



Record 3
Compound: Nd3Dy2Tl4
Source: the Alexandria database
Functional: PBE
Structure: relaxed

Summary:
Its formation energy from the elements is -264 kJ/mol of formula units. For the density, the calculation gives 9.83 g cm⁻³. As for the total moment: 0.000 μB per atom. As for the energy relative to the lowest polymorph listed for this composition: 0 meV per atom.

The structure in CIF format:
```
data_Nd3Dy2Tl4
_chemical_formula_sum 'Nd3 Dy2 Tl4'
_symmetry_space_group_name_H-M 'P 1'
_symmetry_Int_Tables_number 1
_cell_length_a 5.395
_cell_length_b 5.395
_cell_length_c 10.554
_cell_angle_alpha 90.00
_cell_angle_beta 90.00
_cell_angle_gamma 120.00
loop_
_symmetry_equiv_pos_as_xyz
'x,y,z'
loop_
_atom_site_label
_atom_site_type_symbol
_atom_site_fract_x
_atom_site_fract_y
_atom_site_fract_z
Nd1 Nd 0.000 0.000 0.000
Nd2 Nd 0.333 0.667 0.579
Nd3 Nd 0.667 0.333 0.421
Dy1 Dy 0.333 0.667 0.221
Dy2 Dy 0.667 0.333 0.779
Tl1 Tl 0.000 0.000 0.343
Tl2 Tl 0.000 0.000 0.657
Tl3 Tl 0.333 0.667 0.898
Tl4 Tl 0.667 0.333 0.102
```



Record 4
Compound: Nd2DyTl
Source: the Alexandria database
Functional: PBE
Structure: relaxed

Summary:
Its formation energy from the elements is -57 kJ/mol of formula units. For the density, the calculation gives 8.50 g cm⁻³. As for the total moment: 0.000 μB per atom. As for the energy relative to the lowest polymorph listed for this composition: 47 meV per atom.

The structure in CIF format:
```
data_Nd2DyTl
_chemical_formula_sum 'Nd2 Dy1 Tl1'
_symmetry_space_group_name_H-M 'P 1'
_symmetry_Int_Tables_number 1
_cell_length_a 3.673
_cell_length_b 3.673
_cell_length_c 9.485
_cell_angle_alpha 90.00
_cell_angle_beta 90.00
_cell_angle_gamma 90.00
loop_
_symmetry_equiv_pos_as_xyz
'x,y,z'
loop_
_atom_site_label
_atom_site_type_symbol
_atom_site_fract_x
_atom_site_fract_y
_atom_site_fract_z
Nd1 Nd 0.000 0.000 0.231
Nd2 Nd 0.000 0.000 0.769
Dy1 Dy 0.500 0.500 0.500
Tl1 Tl 0.500 0.500 0.000
```



Record 5
Compound: Nd8Dy2Tl
Source: the Alexandria database
Functional: PBE
Structure: relaxed

Summary:
Its formation energy from the elements is -45 kJ/mol of formula units. For the density, the calculation gives 7.64 g cm⁻³. As for the total moment: 0.000 μB per atom. As for the energy relative to the lowest polymorph listed for this composition: 0 meV per atom.

The structure in CIF format:
```
data_Nd8Dy2Tl
_chemical_formula_sum 'Nd8 Dy2 Tl1'
_symmetry_space_group_name_H-M 'P 1'
_symmetry_Int_Tables_number 1
_cell_length_a 9.561
_cell_length_b 9.561
_cell_length_c 8.127
_cell_angle_alpha 105.07
_cell_angle_beta 105.07
_cell_angle_gamma 30.76
loop_
_symmetry_equiv_pos_as_xyz
'x,y,z'
loop_
_atom_site_label
_atom_site_type_symbol
_atom_site_fract_x
_atom_site_fract_y
_atom_site_fract_z
Nd1 Nd 0.045 0.045 0.226
Nd2 Nd 0.137 0.137 0.680
Nd3 Nd 0.321 0.321 0.591
Nd4 Nd 0.409 0.409 0.057
Nd5 Nd 0.591 0.591 0.943
Nd6 Nd 0.679 0.679 0.409
Nd7 Nd 0.863 0.863 0.320
Nd8 Nd 0.955 0.955 0.774
Dy1 Dy 0.225 0.225 0.133
Dy2 Dy 0.775 0.775 0.867
Tl1 Tl 0.500 0.500 0.500
```



Record 6
Compound: Nd2DyTl2
Source: the Alexandria database
Functional: PBE
Structure: relaxed

Summary:
Its formation energy from the elements is -138 kJ/mol of formula units. For the density, the calculation gives 9.50 g cm⁻³. As for the total moment: 0.000 μB per atom.

The structure in CIF format:
```
data_Nd2DyTl2
_chemical_formula_sum 'Nd4 Dy2 Tl4'
_symmetry_space_group_name_H-M 'P 1'
_symmetry_Int_Tables_number 1
_cell_length_a 3.824
_cell_length_b 5.469
_cell_length_c 14.502
_cell_angle_alpha 90.00
_cell_angle_beta 97.60
_cell_angle_gamma 90.00
loop_
_symmetry_equiv_pos_as_xyz
'x,y,z'
loop_
_atom_site_label
_atom_site_type_symbol
_atom_site_fract_x
_atom_site_fract_y
_atom_site_fract_z
Nd1 Nd 0.048 0.250 0.096
Nd2 Nd 0.239 0.250 0.476
Nd3 Nd 0.761 0.750 0.524
Nd4 Nd 0.952 0.750 0.904
Dy1 Dy 0.148 0.750 0.297
Dy2 Dy 0.852 0.250 0.703
Tl1 Tl 0.356 0.750 0.711
Tl2 Tl 0.448 0.250 0.896
Tl3 Tl 0.552 0.750 0.104
Tl4 Tl 0.644 0.250 0.289
```



Record 7
Compound: NdDy5Tl6
Source: the Alexandria database
Functional: PBE
Structure: relaxed

Summary:
Its formation energy from the elements is -402 kJ/mol of formula units. For the density, the calculation gives 10.91 g cm⁻³. As for the total moment: 0.000 μB per atom. As for the energy relative to the lowest polymorph listed for this composition: 0 meV per atom.

The structure in CIF format:
```
data_NdDy5Tl6
_chemical_formula_sum 'Nd1 Dy5 Tl6'
_symmetry_space_group_name_H-M 'P 1'
_symmetry_Int_Tables_number 1
_cell_length_a 9.350
_cell_length_b 9.350
_cell_length_c 5.393
_cell_angle_alpha 106.69
_cell_angle_beta 106.69
_cell_angle_gamma 120.31
loop_
_symmetry_equiv_pos_as_xyz
'x,y,z'
loop_
_atom_site_label
_atom_site_type_symbol
_atom_site_fract_x
_atom_site_fract_y
_atom_site_fract_z
Nd1 Nd 0.000 0.000 0.000
Dy1 Dy 0.164 0.836 0.500
Dy2 Dy 0.333 0.667 0.000
Dy3 Dy 0.500 0.500 0.500
Dy4 Dy 0.667 0.333 0.000
Dy5 Dy 0.836 0.164 0.500
Tl1 Tl 0.085 0.423 0.254
Tl2 Tl 0.258 0.258 0.758
Tl3 Tl 0.423 0.085 0.254
Tl4 Tl 0.577 0.915 0.746
Tl5 Tl 0.742 0.742 0.242
Tl6 Tl 0.915 0.577 0.746
```



Record 8
Compound: Nd2DyTl
Source: the Alexandria database
Functional: PBE
Structure: relaxed

Summary:
Its formation energy from the elements is -25 kJ/mol of formula units. For the density, the calculation gives 8.81 g cm⁻³. As for the total moment: 0.305 μB per atom. As for the energy relative to the lowest polymorph listed for this composition: 130 meV per atom.

The structure in CIF format:
```
data_Nd2DyTl
_chemical_formula_sum 'Nd2 Dy1 Tl1'
_symmetry_space_group_name_H-M 'P 1'
_symmetry_Int_Tables_number 1
_cell_length_a 5.591
_cell_length_b 5.591
_cell_length_c 5.591
_cell_angle_alpha 60.00
_cell_angle_beta 60.00
_cell_angle_gamma 60.00
loop_
_symmetry_equiv_pos_as_xyz
'x,y,z'
loop_
_atom_site_label
_atom_site_type_symbol
_atom_site_fract_x
_atom_site_fract_y
_atom_site_fract_z
Nd1 Nd 0.250 0.250 0.250
Nd2 Nd 0.750 0.750 0.750
Dy1 Dy 0.000 0.000 0.000
Tl1 Tl 0.500 0.500 0.500
```